[1]
8
Lattice="4.3878 0.0000 0.0000 0.0000 6.5109 0.0000 0.0000 0.0000 5.9619" Properties=species:S:1:pos:R:3 comment="SrTmGa6 (PBE-GGA, optimized geometry)" e_form_ev_per_fu=-3.07 dos_at_fermi_per_ev_atom=0.232 total_energy_ev_per_atom=-3.42 pbc="T T T"
Sr 0.0000 0.0000 0.0000
Tm 2.1939 3.2554 1.4392
Ga 0.0000 1.7173 2.8269
Ga 0.0000 3.2554 5.3185
Ga 0.0000 4.7936 2.8269
Ga 2.1939 0.0000 2.5180
Ga 2.1939 1.8563 4.5295
Ga 2.1939 4.6546 4.5295



[2]
5
Lattice="5.1102 0.0000 0.0000 0.0000 5.1102 0.0000 0.0000 0.0000 5.2686" Properties=species:S:1:pos:R:3 comment="La2MgCdFe (PBE-GGA, optimized geometry)" e_form_ev_per_fu=-0.12 dos_at_fermi_per_ev_atom=0.828 de_polymorph_mev_per_atom=45 total_energy_ev_per_atom=-4.19 pbc="T T T"
La 0.0000 2.5551 0.0000
La 2.5551 0.0000 0.0000
Mg 0.0000 0.0000 2.6343
Cd 2.5551 2.5551 2.6343
Fe 2.5551 2.5551 0.0000